[1]
Density functional theory data (PBE-GGA) for a relaxed structure of YZrP2.

a b c (Å): 3.3671 3.3671 6.7369
angles (deg): 90.00 90.00 90.00
Element x y z (fractional)
Y 0.0000 0.0000 0.0000
Zr 0.0000 0.0000 0.5000
P 0.5000 0.5000 0.2721
P 0.5000 0.5000 0.7279

Results
The calculation puts the total magnetization at 0.0 μB per cell.



[2]
Density functional theory data (PBE-GGA) for a relaxed structure of YZrP2.

a b c (Å): 3.8700 3.8700 5.4640
angles (deg): 90.00 90.00 90.00
Element x y z (fractional)
Y 0.0000 0.0000 0.0000
Zr 0.5000 0.5000 0.5000
P 0.0000 0.0000 0.5000
P 0.5000 0.5000 0.0000

Results
The calculation puts the total magnetization at 0.0 μB per cell.



| no. | mass density (g/cm3) | E_form (eV per atom) | offset from the most stable computed form (meV/atom) |
| --- | --- | --- | --- |
| 1 | 5.26 | -0.96 | 522 |
| 2 | 4.91 | -1.44 | 46 |